# 1
This record from Alexandria describes an optimized crystal structure of Ca2TmPaP4. The functional is PBE.

Cell lengths 6.9675, 4.0799, 7.0468 Å; angles 90.00, 109.25, 90.00 degrees
Closest atoms and distances in Å follow each position.
Fractional positions:
Ca  0.0000  0.0000  0.0000  6 P 2.97-2.98
Ca  0.5000  0.5000  0.0000  6 P 2.92-2.94
Tm  0.0000  0.5000  0.5000  6 P 2.80-2.82
Pa  0.5000  0.0000  0.5000  6 P 2.74-2.78
P  0.2500  0.0000  0.7292  1 Pa 2.74, 2 Tm 2.82, 3 Ca 2.94-2.98
P  0.2618  0.5000  0.2716  2 Pa 2.78, 1 Tm 2.80, 3 Ca 2.92-2.97
P  0.7382  0.5000  0.7284  2 Pa 2.78, 1 Tm 2.80, 3 Ca 2.92-2.97
P  0.7500  0.0000  0.2708  1 Pa 2.74, 2 Tm 2.82, 3 Ca 2.94-2.98

Output
As for the space-group type: No. 10. Its formation enthalpy at 0 K is -1.340 eV per atom. The calculation puts the size of the total moment at 0.00 μB/atom. As for the total energy: -6.291 eV per atom.


# 2
This record from Alexandria describes an optimized crystal structure of Ga2IrPbI. The functional is PBE.

Cell lengths 5.6100, 5.6100, 5.9804 Å; angles 90.00, 90.00, 90.00 degrees
Closest atoms and distances in Å follow each position.
Fractional positions:
Ga  0.0000  0.5000  0.0000  2 Pb 2.80
Ga  0.5000  0.0000  0.0000  2 Pb 2.80
Ir  0.0000  0.0000  0.5000  4 I 3.97, 8 Ga 4.10
Pb  0.5000  0.5000  0.0000  4 Ga 2.80, 2 I 2.99
I  0.5000  0.5000  0.5000  2 Pb 2.99

Output
As for the space-group type: No. 123. The calculation puts the size of the total moment at 0.42 μB/atom. For the raw formation energy, the calculation gives 1.3876 eV/atom. The polymorph energy (0 for the lowest one) is 1.688 eV/atom. As for the total energy: -2.647 eV per atom.


# 3
This record from Alexandria describes an optimized crystal structure of ScReOs2. The functional is PBE.

Cell lengths 5.8266, 5.8266, 5.8266 Å; angles 102.12, 102.12, 125.45 degrees
Closest atoms and distances in Å follow each position.
Fractional positions:
Sc  0.0000  0.0000  0.0000  2 Re 2.67, 4 Os 2.91
Sc  0.7500  0.2500  0.5000  2 Re 2.67, 4 Os 2.91
Re  0.2500  0.7500  0.5000  4 Os 2.46, 2 Sc 2.67
Re  0.5000  0.5000  0.0000  4 Os 2.46, 2 Sc 2.67
Os  0.1698  0.6250  0.0448  2 Re 2.46, 2 Os 2.75
Os  0.3750  0.4198  0.5448  2 Re 2.46, 2 Os 2.75
Os  0.5802  0.1250  0.9552  2 Re 2.46, 2 Os 2.75
Os  0.8750  0.8302  0.4552  2 Re 2.46, 2 Os 2.75

Output
As for the space-group type: No. 122. Its formation enthalpy at 0 K is 0.513 eV per atom. The calculation puts the size of the total moment at 0.00 μB/atom. As for the total energy: -9.797 eV per atom.